The following is a PBE calculation of an optimized crystal structure of SrZnTc, from Alexandria via LeMat-Bulk.

total DFT energy (no corrections)	-4.325	eV/atom
total magnetization	0.00	μB per atom
excess energy over the best structure of this formula in the dataset	82	meV/atom
ΔE_f	0.12	eV/atom

Cell and atoms, written as CIF:
```
data_SrZnTc
_cell_length_a 11.518
_cell_length_b 4.352
_cell_length_c 5.467
_cell_angle_alpha 90.00
_cell_angle_beta 91.95
_cell_angle_gamma 90.00
_space_group_name_H-M_alt 'P 1'
_space_group_IT_number 1
_space_group_name_Hall 'P 1'
loop_
_atom_site_label
_atom_site_type_symbol
_atom_site_fract_x
_atom_site_fract_y
_atom_site_fract_z
Sr1 Sr 0.000 0.000 0.000
Sr2 Sr 0.072 0.500 0.488
Sr3 Sr 0.500 0.500 0.000
Sr4 Sr 0.572 0.000 0.488
Zn1 Zn 0.233 0.500 0.999
Zn2 Zn 0.291 0.000 0.758
Zn3 Zn 0.733 0.000 0.999
Zn4 Zn 0.791 0.500 0.758
Tc1 Tc 0.298 0.000 0.263
Tc2 Tc 0.337 0.500 0.463
Tc3 Tc 0.798 0.500 0.263
Tc4 Tc 0.837 0.000 0.463
```